# 1
Material: GdB3W
Method: DFT, GGA-PBE
State: optimized geometry

The structure belongs to space group P2_1/m (No. 11); the cell edges are 5.487, 3.171 and 6.873 Å and the angles 90.00°, 102.67° and 90.00°. The inequivalent atoms are Gd at (0.172, 0.250, 0.207), B at (0.083, 0.750, 0.493), B at (0.413, 0.750, 0.495), B at (0.418, 0.750, 0.974) and W at (0.313, 0.250, 0.719).

The magnetization is 0.01 μB per cell. The value obtained for the total energy is -8.081 eV per atom.

---

# 2
Material: GdB4W
Method: DFT, GGA-PBE
State: optimized geometry

The structure belongs to space group Immm (No. 71); the cell edges are 3.173, 5.461 and 7.100 Å and the angles 90.00°, 90.00° and 90.00°. The inequivalent atoms are Gd at (0.000, 0.000, 0.000), B at (0.000, 0.337, 0.247) and W at (0.000, 0.000, 0.500).

The magnetization is 0.00 μB per cell. The value obtained for the total energy is -7.731 eV per atom.

---

# 3
Material: Gd2Y2B3
Method: DFT, GGA-PBE
State: optimized geometry

The structure belongs to space group Cmmm (No. 65); the cell edges are 3.425, 20.667 and 5.020 Å and the angles 90.00°, 90.00° and 90.00°. The inequivalent atoms are Gd at (0.000, 0.126, 0.000), Y at (0.000, 0.313, 0.500), B at (0.000, 0.000, 0.000) and B at (0.000, 0.258, 0.000).

The magnetization is 2.83 μB per cell. The value obtained for the total energy is -5.282 eV per atom.

---

# 4
Material: GdZnB
Method: DFT, GGA-PBE
State: optimized geometry

The structure belongs to space group F-43m (No. 216); the cell edges are 5.938, 5.938 and 5.938 Å and the angles 90.00°, 90.00° and 90.00°. The inequivalent atoms are Gd at (0.000, 0.000, 0.000), Zn at (0.000, 0.000, 0.500) and B at (0.250, 0.250, 0.250).

The magnetization is 0.01 μB per cell. The value obtained for the total energy is -4.349 eV per atom.